Entry 1:
This record from the Alexandria database describes a relaxed structure of BeHgPt2. The functional is PBE.

Calculated values
Offset from the most stable computed form in kcal/mol of atoms: 4.839
Fermi-level density of states in states/eV/cell: 1.7
Energy of formation from the pure elements in kJ/mol of atoms: -16.9
Magnetic moment in μB/f.u.: 0.00
Crystal system: monoclinic

Cell: 3.6327 2.8365 6.2859 Å, 77.09 90.00 90.00°
Fractional coordinates of all 4 atoms:
Be1 0.0000 0.7343 0.4051
Hg1 0.5000 0.5641 0.7456
Pt1 0.0000 0.9249 0.0296
Pt2 0.5000 0.2768 0.3197


Entry 2:
This record from the Alexandria database describes a relaxed structure of BeHgPt2. The functional is PBE.

Calculated values
Offset from the most stable computed form in kcal/mol of atoms: 7.217
Fermi-level density of states in states/eV/cell: 1.1
Energy of formation from the pure elements in kJ/mol of atoms: -7.0
Magnetic moment in μB/f.u.: 0.00
Crystal system: tetragonal

Cell: 4.0634 4.0625 3.7470 Å, 90.00 90.00 90.00°
Fractional coordinates of all 4 atoms:
Be1 0.5000 0.0000 0.5000
Hg1 0.0000 0.5000 0.5000
Pt1 0.0000 0.0000 0.0000
Pt2 0.5000 0.5000 0.0000


Entry 3:
This record from the Alexandria database describes a relaxed structure of BeHg2Pt. The functional is PBE.

Calculated values
Offset from the most stable computed form in kcal/mol of atoms: 7.425
Fermi-level density of states in states/eV/cell: 0.7
Energy of formation from the pure elements in kJ/mol of atoms: 22.2
Magnetic moment in μB/f.u.: 0.00
Crystal system: monoclinic

Cell: 5.3420 5.3434 5.3466 Å, 141.66 132.98 62.09°
Fractional coordinates of all 4 atoms:
Be1 0.2500 0.7500 0.5000
Hg1 0.0424 0.0422 0.0002
Hg2 0.4576 0.4578 0.9998
Pt1 0.7500 0.2500 0.5000


Entry 4:
This record from the Alexandria database describes a relaxed structure of Be3HgPt. The functional is PBE.

Calculated values
Offset from the most stable computed form in kcal/mol of atoms: 19.146
Fermi-level density of states in states/eV/cell: 4.6
Energy of formation from the pure elements in kJ/mol of atoms: 99.2
Magnetic moment in μB/f.u.: 0.00
Crystal system: cubic

Cell: 4.3267 4.3267 4.3267 Å, 90.00 90.00 90.00°
Fractional coordinates of all 5 atoms:
Be1 0.0000 0.5000 0.0000
Be2 0.0000 0.0000 0.5000
Be3 0.5000 0.0000 0.0000
Hg1 0.0000 0.0000 0.0000
Pt1 0.5000 0.5000 0.5000


Entry 5:
This record from the Alexandria database describes a relaxed structure of BeHgPt. The functional is PBE.

Calculated values
Offset from the most stable computed form in kcal/mol of atoms: 1.808
Fermi-level density of states in states/eV/cell: 0.9
Energy of formation from the pure elements in kJ/mol of atoms: -11.0
Magnetic moment in μB/f.u.: 0.00
Crystal system: hexagonal

Cell: 3.8905 3.8905 3.7014 Å, 90.00 90.00 120.00°
Fractional coordinates of all 3 atoms:
Be1 0.0000 0.0000 0.8330
Hg1 0.6667 0.3333 0.3336
Pt1 0.3333 0.6667 0.8335


Entry 6:
This record from the Alexandria database describes a relaxed structure of BeHg2Pt. The functional is PBE.

Calculated values
Offset from the most stable computed form in kcal/mol of atoms: 10.130
Fermi-level density of states in states/eV/cell: 2.4
Energy of formation from the pure elements in kJ/mol of atoms: 33.5
Magnetic moment in μB/f.u.: 0.00
Crystal system: tetragonal

Cell: 7.2829 7.2829 5.8052 Å, 51.15 51.15 90.00°
Fractional coordinates of all 8 atoms:
Be1 0.5000 0.5000 0.0000
Be2 0.2500 0.7500 0.5000
Hg1 0.5777 0.1250 0.2500
Hg2 0.1723 0.6250 0.2500
Hg3 0.3750 0.4223 0.7500
Hg4 0.8750 0.8277 0.7500
Pt1 0.0000 0.0000 0.0000
Pt2 0.7500 0.2500 0.5000


Entry 7:
This record from the Alexandria database describes a relaxed structure of BeHgPt2. The functional is PBE.

Calculated values
Offset from the most stable computed form in kcal/mol of atoms: 9.829
Fermi-level density of states in states/eV/cell: 1.7
Energy of formation from the pure elements in kJ/mol of atoms: 3.9
Magnetic moment in μB/f.u.: 0.00
Crystal system: tetragonal

Cell: 4.9045 4.9045 4.9045 Å, 132.72 132.72 69.10°
Fractional coordinates of all 4 atoms:
Be1 0.5000 0.5000 0.0000
Hg1 0.7500 0.2500 0.5000
Pt1 0.0000 0.0000 0.0000
Pt2 0.2500 0.7500 0.5000


Entry 8:
This record from the Alexandria database describes a relaxed structure of Be3HgPt. The functional is PBE.

Calculated values
Offset from the most stable computed form in kcal/mol of atoms: 0.000
Fermi-level density of states in states/eV/cell: 1.7
Energy of formation from the pure elements in kJ/mol of atoms: 19.1
Magnetic moment in μB/f.u.: 0.00
Crystal system: cubic

Cell: 4.3358 4.3358 4.3358 Å, 90.00 90.00 90.00°
Fractional coordinates of all 5 atoms:
Be1 0.0000 0.5000 0.0000
Be2 0.0000 0.0000 0.5000
Be3 0.5000 0.0000 0.0000
Hg1 0.5000 0.5000 0.5000
Pt1 0.0000 0.0000 0.0000


Entry 9:
This record from the Alexandria database describes a relaxed structure of BeHgPt2. The functional is PBE.

Calculated values
Offset from the most stable computed form in kcal/mol of atoms: 0.000
Fermi-level density of states in states/eV/cell: 1.2
Energy of formation from the pure elements in kJ/mol of atoms: -37.2
Magnetic moment in μB/f.u.: 0.00
Crystal system: monoclinic

Cell: 2.8571 2.8610 7.8726 Å, 68.19 90.00 90.00°
Fractional coordinates of all 4 atoms:
Be1 0.5000 0.2500 0.2500
Hg1 0.5000 0.7500 0.7500
Pt1 0.0000 0.9481 0.0575
Pt2 0.0000 0.5519 0.4425


Entry 10:
This record from the Alexandria database describes a relaxed structure of BeHgPt2. The functional is PBE.

Calculated values
Offset from the most stable computed form in kcal/mol of atoms: 2.592
Fermi-level density of states in states/eV/cell: 1.2
Energy of formation from the pure elements in kJ/mol of atoms: -26.3
Magnetic moment in μB/f.u.: 0.00
Crystal system: orthorhombic

Cell: 7.6200 7.6200 7.6200 Å, 157.35 158.12 31.69°
Fractional coordinates of all 4 atoms:
Be1 0.5490 0.5490 0.0000
Hg1 0.3088 0.8088 0.5000
Pt1 0.9775 0.9775 0.0000
Pt2 0.6647 0.1647 0.5000


Entry 11:
This record from the Alexandria database describes a relaxed structure of BeHg2Pt. The functional is PBE.

Calculated values
Offset from the most stable computed form in kcal/mol of atoms: 2.721
Fermi-level density of states in states/eV/cell: 1.1
Energy of formation from the pure elements in kJ/mol of atoms: 2.5
Magnetic moment in μB/f.u.: 0.00
Crystal system: monoclinic

Cell: 3.6496 4.1607 5.3710 Å, 64.13 90.00 90.00°
Fractional coordinates of all 4 atoms:
Be1 0.5000 0.5514 0.7714
Hg1 0.0000 0.9647 0.9173
Hg2 0.5000 0.2975 0.3001
Pt1 0.0000 0.6864 0.5112


Entry 12:
This record from the Alexandria database describes a relaxed structure of BeHgPt. The functional is PBE.

Calculated values
Offset from the most stable computed form in kcal/mol of atoms: 4.022
Fermi-level density of states in states/eV/cell: 1.2
Energy of formation from the pure elements in kJ/mol of atoms: -1.8
Magnetic moment in μB/f.u.: 0.00
Crystal system: trigonal

Cell: 2.9830 2.9830 6.2413 Å, 90.00 90.00 120.00°
Fractional coordinates of all 3 atoms:
Be1 0.0000 0.0000 0.9624
Hg1 0.6667 0.3333 0.3137
Pt1 0.3333 0.6667 0.7239


Entry 13:
This record from the Alexandria database describes a relaxed structure of BeHgPt2. The functional is PBE.

Calculated values
Offset from the most stable computed form in kcal/mol of atoms: 1.934
Fermi-level density of states in states/eV/cell: 0.8
Energy of formation from the pure elements in kJ/mol of atoms: -29.1
Magnetic moment in μB/f.u.: 0.00
Crystal system: trigonal

Cell: 9.2609 9.2609 9.2609 Å, 17.55 17.55 17.55°
Fractional coordinates of all 4 atoms:
Be1 0.2500 0.2500 0.2500
Hg1 0.7500 0.7500 0.7500
Pt1 0.9797 0.9797 0.9797
Pt2 0.5203 0.5203 0.5203


Entry 14:
This record from the Alexandria database describes a relaxed structure of BeHg2Pt. The functional is PBE.

Calculated values
Offset from the most stable computed form in kcal/mol of atoms: 9.528
Fermi-level density of states in states/eV/cell: 1.3
Energy of formation from the pure elements in kJ/mol of atoms: 31.0
Magnetic moment in μB/f.u.: 0.00
Crystal system: monoclinic

Cell: 5.6417 5.6417 3.1490 Å, 71.10 71.10 114.35°
Fractional coordinates of all 4 atoms:
Be1 0.0000 0.5000 0.5000
Hg1 0.0000 0.0000 0.0000
Hg2 0.5000 0.5000 0.0000
Pt1 0.5000 0.0000 0.5000